The following is a DFT calculation (PBE-GGA) of an optimized crystal structure of Li2Au.

Structure (POSCAR):
```
Li2Au
1.0
-2.3784 0.5430 -1.6999
0.8111 -2.8033 0.5702
-3.9347 -0.0200 5.4986
Au Li
1 2
Cartesian
0.0000 0.0000 0.0000 Au
-4.0308 -0.5862 2.8516 Li
-1.4712 -1.6940 1.5172 Li
```

For the energy, the calculation gives -7.929 eV per formula unit. For the calculated volume, the calculation gives 51.8 Å³ per cell. The calculation puts the formation enthalpy at 0 K at -275 meV per atom. Its space group is No. 164. As for the crystal system: trigonal. The mass density is 6.76 Mg/m³.